No. 1
Below is a geometry-optimized Pm4TmIn structure, with properties calculated at the PBE-GGA level.

## Properties
D(E_F)	33.99	states/eV/cell
E	-4.43	eV/atom
DFT formation energy	-0.058	eV/atom

Unit cell a=3.5761 b=30.8959 c=6.8913 alpha=90.00 beta=90.00 gamma=90.00
With the nearest neighbours (Å) after each atom.
Space group Cmcm (No. 63)
Unique sites:
Pm1 0.0000 0.0000 0.0000 x4  8 Pm 3.45-3.58, 4 In 3.50
Pm2 0.0000 0.1595 0.0055 x8  6 Pm 3.37-3.58, 3 Tm 3.45-3.60, 2 In 3.48
Pm3 0.0000 0.4177 0.2500 x4  2 In 3.45, 10 Pm 3.46-3.58
Tm1 0.0000 0.2570 0.2500 x4  6 Pm 3.45-3.60, 2 Tm 3.58
In1 0.0000 0.4203 0.7500 x4  10 Pm 3.45-3.50, 2 In 3.58

No. 2
Below is a geometry-optimized PmTmIn structure, with properties calculated at the PBE-GGA level.

## Properties
D(E_F)	6.39	states/eV/cell
polymorph energy (0 for the lowest one)	0	meV/atom
E	-4.33	eV/atom
DFT formation energy	-0.341	eV/atom

Unit cell a=5.4229 b=5.4229 c=6.7728 alpha=90.00 beta=90.00 gamma=120.00
With the nearest neighbours (Å) after each atom.
Space group P6_3/mmc (No. 194)
Unique sites:
Pm1 0.0000 0.0000 0.0000 x2  2 Pm 3.39, 6 In 3.56, 6 Tm 3.56
Tm1 0.3333 0.6667 0.2500 x2  5 In 3.13-3.39
In1 0.3333 0.6667 0.7500 x2  5 Tm 3.13-3.39